1.
A relaxed AcNd3HoEr crystal. Source: Alexandria, functional PBE.

Energy relative to the elements   221 meV per atom
Total magnetic moment   0.00 μB/f.u.

POSCAR file:
```
AcNd3HoEr
1.0
10.453 -2.922 0.000
10.453 2.922 0.000
-0.108 0.000 7.131
Ac Nd Ho Er
2 6 2 2
direct
0.147 0.147 0.032
0.853 0.853 0.968
0.017 0.017 0.738
0.281 0.281 0.725
0.340 0.340 0.259
0.660 0.660 0.741
0.719 0.719 0.275
0.983 0.983 0.262
0.440 0.440 0.691
0.560 0.560 0.309
0.143 0.143 0.487
0.857 0.857 0.513
```



2.
A relaxed AcNd2Ho2Er2 crystal. Source: Alexandria, functional PBE.

Energy relative to the elements   45 meV per atom
Total magnetic moment   0.00 μB/f.u.

POSCAR file:
```
AcNd2Ho2Er2
1.0
5.758 -2.568 0.000
5.758 2.568 0.000
-1.194 0.000 8.027
Ac Nd Ho Er
1 2 2 2
direct
0.000 0.000 0.000
0.285 0.285 0.848
0.715 0.715 0.152
0.426 0.426 0.295
0.574 0.574 0.705
0.142 0.142 0.433
0.858 0.858 0.567
```



3.
A relaxed AcNdHo2Er crystal. Source: Alexandria, functional PBE.

Energy relative to the elements   390 meV per atom
Total magnetic moment   0.00 μB/f.u.

POSCAR file:
```
AcNdHo2Er
1.0
3.247 -8.787 0.000
3.247 8.787 0.000
0.000 0.000 6.435
Ac Nd Ho Er
2 2 4 2
direct
0.159 0.841 0.750
0.841 0.159 0.250
0.347 0.653 0.750
0.653 0.347 0.250
0.254 0.254 0.000
0.254 0.254 0.500
0.746 0.746 0.000
0.746 0.746 0.500
0.263 0.737 0.250
0.737 0.263 0.750
```



- Look up the total magnetic moment of the second one.
  0.00 μB/f.u.



- What is the total magnetic moment in the third record?
  0.00 μB/f.u.



Repeat the third record exactly.
A relaxed AcNdHo2Er crystal. Source: Alexandria, functional PBE.

Energy relative to the elements   390 meV per atom
Total magnetic moment   0.00 μB/f.u.

POSCAR file:
```
AcNdHo2Er
1.0
3.247 -8.787 0.000
3.247 8.787 0.000
0.000 0.000 6.435
Ac Nd Ho Er
2 2 4 2
direct
0.159 0.841 0.750
0.841 0.159 0.250
0.347 0.653 0.750
0.653 0.347 0.250
0.254 0.254 0.000
0.254 0.254 0.500
0.746 0.746 0.000
0.746 0.746 0.500
0.263 0.737 0.250
0.737 0.263 0.750
```



- Look up the energy relative to the elements of the first one.
  221 meV per atom